A geometry-optimized Zr2Al structure. Source: the Alexandria database, functional PBE.

Lattice parameters (Å, degrees): 5.429 5.429 5.429 145.21 136.62 56.76
Fractional coordinates of all 3 atoms:
Al1 0.000 0.000 0.000
Zr1 0.660 0.660 0.000
Zr2 0.340 0.340 0.000

Summary:
DOS at the Fermi energy = 2.5 states/eV/f.u.
Symmetry = No. 71
ΔE_f = -308 meV per atom
Energy = -21.8 eV/cell